# 1
DFT (PBE) results for GdZn4Fe after structural relaxation.

**VASP energy**: -4.7061 eV per atom
**Volume**: 16.27 Å³ per atom
**Space group**: F-43m (216)
**Energy relative to the elements**: -99.6 meV/atom

Lattice parameters (Å, degrees): 5.1686 5.1686 5.1686 60.00 60.00 60.00
Last column: nearest neighbours and their distance in Å.
Fractional coordinates of all 6 atoms:
Gd 0.0000 0.0000 0.0000  12 Zn 3.03, 4 Fe 3.17
Zn 0.3765 0.3765 0.3765  6 Zn 2.55-2.61
Zn 0.3765 0.3765 0.8706  6 Zn 2.55-2.61
Zn 0.3765 0.8706 0.3765  6 Zn 2.55-2.61
Zn 0.8706 0.3765 0.3765  6 Zn 2.55-2.61
Fe 0.7500 0.7500 0.7500  12 Zn 3.03, 4 Gd 3.17

# 2
DFT (PBE) results for Gd2ZnFe after structural relaxation.

**VASP energy**: -9.1157 eV per atom
**Volume**: 27.77 Å³ per atom
**Space group**: R-3m (166)
**Energy relative to the elements**: 359.0 meV/atom

Lattice parameters (Å, degrees): 9.8880 9.8880 9.8880 21.23 21.23 21.23
Last column: nearest neighbours and their distance in Å.
Fractional coordinates of all 4 atoms:
Gd 0.1086 0.1086 0.1086  3 Fe 2.69
Gd 0.8914 0.8914 0.8914  3 Fe 2.69
Zn 0.0000 0.0000 0.0000  2 Gd 3.15
Fe 0.5000 0.5000 0.5000  6 Gd 2.69

# 3
DFT (PBE) results for GdZrZnFe after structural relaxation.

**VASP energy**: -8.1479 eV per atom
**Volume**: 19.35 Å³ per atom
**Space group**: F-43m (216)
**Energy relative to the elements**: -56.5 meV/atom

Lattice parameters (Å, degrees): 4.7832 4.7832 4.7832 60.00 60.00 60.00
Last column: nearest neighbours and their distance in Å.
Fractional coordinates of all 4 atoms:
Gd 0.0000 0.0000 0.0000  4 Fe 2.93, 4 Zn 2.93
Zr 0.5000 0.5000 0.5000  4 Fe 2.93, 4 Zn 2.93
Zn 0.2500 0.2500 0.2500  4 Gd 2.93, 4 Zr 2.93
Fe 0.7500 0.7500 0.7500  4 Gd 2.93, 4 Zr 2.93

Among the records above, which one has the highest VASP energy? GdZn4Fe

What is the formula in the second record? Gd2ZnFe

Among the records above, which one has the highest VASP energy? GdZn4Fe

Number 3 is which compound? GdZrZnFe